Record 1
A plane-wave DFT calculation with GGA-PBE was carried out for a relaxed RbAgPt2N crystal.

The space group is P4/mmm (No. 123) and the conventional cell measures 5.0184, 5.0184 and 6.4466 Å, with angles of 90.00, 90.00 and 90.00 degrees. The inequivalent atoms are Rb at (0.0000, 0.0000, 0.0000), Ag at (0.0000, 0.0000, 0.5000), Pt at (0.0000, 0.5000, 0.5000) and N at (0.5000, 0.5000, 0.0000).

The formation energy without anion corrections is 1779 meV per atom. The density comes out at 6.11 g/cm³. The value obtained for the final energy is -15.33 eV per cell.


Record 2
A plane-wave DFT calculation with GGA-PBE was carried out for a relaxed Rb2AgPtN crystal.

The space group is P4/mmm (No. 123) and the conventional cell measures 6.5536, 6.5536 and 3.7885 Å, with angles of 90.00, 90.00 and 90.00 degrees. The inequivalent atoms are Rb at (0.0000, 0.5000, 0.0000), Ag at (0.0000, 0.0000, 0.0000), Pt at (0.5000, 0.5000, 0.5000) and N at (0.0000, 0.0000, 0.5000).

The value obtained for the excess energy over the best structure of this formula in the dataset is 0.780 eV per atom. The formation energy without anion corrections is 762 meV per atom. The density comes out at 4.98 g/cm³. The value obtained for the final energy is -15.34 eV per cell.


Record 3
A plane-wave DFT calculation with GGA-PBE was carried out for a relaxed Rb2AgPtN crystal.

The space group is P4/mmm (No. 123) and the conventional cell measures 6.7065, 6.7065 and 3.7162 Å, with angles of 90.00, 90.00 and 90.00 degrees. The inequivalent atoms are Rb at (0.0000, 0.5000, 0.0000), Ag at (0.0000, 0.0000, 0.5000), Pt at (0.5000, 0.5000, 0.0000) and N at (0.5000, 0.5000, 0.5000).

The value obtained for the excess energy over the best structure of this formula in the dataset is 0.078 eV per atom. The formation energy without anion corrections is 59 meV per atom. The density comes out at 4.85 g/cm³. The value obtained for the final energy is -18.86 eV per cell.


Record 4
A plane-wave DFT calculation with GGA-PBE was carried out for a relaxed Sc2AgPtN crystal.

The space group is P4/mmm (No. 123) and the conventional cell measures 4.3454, 4.3454 and 4.3046 Å, with angles of 90.00, 90.00 and 90.00 degrees. The inequivalent atoms are Sc at (0.0000, 0.5000, 0.0000), Ag at (0.0000, 0.0000, 0.5000), Pt at (0.5000, 0.5000, 0.5000) and N at (0.0000, 0.0000, 0.0000).

The formation energy without anion corrections is -827 meV per atom. The density comes out at 8.31 g/cm³. The value obtained for the final energy is -34.02 eV per cell.


Record 5
A plane-wave DFT calculation with GGA-PBE was carried out for a relaxed AgPtSeN2 crystal.

The space group is P4/mmm (No. 123) and the conventional cell measures 3.7465, 3.7465 and 7.6640 Å, with angles of 90.00, 90.00 and 90.00 degrees. The inequivalent atoms are Ag at (0.0000, 0.0000, 0.0000), Pt at (0.5000, 0.5000, 0.5000), Se at (0.5000, 0.5000, 0.0000) and N at (0.0000, 0.5000, 0.5000).

The value obtained for the excess energy over the best structure of this formula in the dataset is 0.000 eV per atom. The formation energy without anion corrections is 1084 meV per atom. The density comes out at 6.33 g/cm³. The value obtained for the final energy is -23.61 eV per cell.


Record 6
A plane-wave DFT calculation with GGA-PBE was carried out for a relaxed AgPtSeN2 crystal.

The space group is P4/mmm (No. 123) and the conventional cell measures 3.9286, 3.9286 and 6.0612 Å, with angles of 90.00, 90.00 and 90.00 degrees. The inequivalent atoms are Ag at (0.0000, 0.0000, 0.0000), Pt at (0.5000, 0.5000, 0.5000), Se at (0.0000, 0.0000, 0.5000) and N at (0.0000, 0.5000, 0.0000).

The value obtained for the excess energy over the best structure of this formula in the dataset is 0.889 eV per atom. The formation energy without anion corrections is 1973 meV per atom. The density comes out at 7.28 g/cm³. The value obtained for the final energy is -19.16 eV per cell.


Record 7
A plane-wave DFT calculation with GGA-PBE was carried out for a relaxed TcAgPt2N crystal.

The space group is P4/mmm (No. 123) and the conventional cell measures 4.1990, 4.1990 and 4.3241 Å, with angles of 90.00, 90.00 and 90.00 degrees. The inequivalent atoms are Tc at (0.0000, 0.0000, 0.0000), Ag at (0.5000, 0.5000, 0.0000), Pt at (0.0000, 0.5000, 0.5000) and N at (0.5000, 0.5000, 0.5000).

The formation energy without anion corrections is 902 meV per atom. The density comes out at 13.29 g/cm³. The value obtained for the final energy is -29.11 eV per cell.


Record 8
A plane-wave DFT calculation with GGA-PBE was carried out for a relaxed AgTe2PtN crystal.

The space group is P4/mmm (No. 123) and the conventional cell measures 5.6737, 5.6737 and 3.6559 Å, with angles of 90.00, 90.00 and 90.00 degrees. The inequivalent atoms are Ag at (0.0000, 0.0000, 0.0000), Te at (0.0000, 0.5000, 0.5000), Pt at (0.5000, 0.5000, 0.5000) and N at (0.5000, 0.5000, 0.0000).

The value obtained for the excess energy over the best structure of this formula in the dataset is 0.000 eV per atom. The formation energy without anion corrections is 493 meV per atom. The density comes out at 8.07 g/cm³. The value obtained for the final energy is -21.04 eV per cell.


Record 9
A plane-wave DFT calculation with GGA-PBE was carried out for a relaxed AgTePtN2 crystal.

The space group is P4/mmm (No. 123) and the conventional cell measures 3.9925, 3.9925 and 6.3939 Å, with angles of 90.00, 90.00 and 90.00 degrees. The inequivalent atoms are Ag at (0.0000, 0.0000, 0.0000), Te at (0.0000, 0.0000, 0.5000), Pt at (0.5000, 0.5000, 0.5000) and N at (0.0000, 0.5000, 0.0000).

The value obtained for the excess energy over the best structure of this formula in the dataset is 0.697 eV per atom. The formation energy without anion corrections is 1832 meV per atom. The density comes out at 7.47 g/cm³. The value obtained for the final energy is -19.53 eV per cell.


Record 10
A plane-wave DFT calculation with GGA-PBE was carried out for a relaxed AgTePtN2 crystal.

The space group is P4/mmm (No. 123) and the conventional cell measures 3.8324, 3.8324 and 7.1444 Å, with angles of 90.00, 90.00 and 90.00 degrees. The inequivalent atoms are Ag at (0.0000, 0.0000, 0.0000), Te at (0.5000, 0.5000, 0.0000), Pt at (0.5000, 0.5000, 0.5000) and N at (0.0000, 0.5000, 0.5000).

The value obtained for the excess energy over the best structure of this formula in the dataset is 0.000 eV per atom. The formation energy without anion corrections is 1135 meV per atom. The density comes out at 7.26 g/cm³. The value obtained for the final energy is -23.01 eV per cell.


Record 11
A plane-wave DFT calculation with GGA-PBE was carried out for a relaxed AgTe2PtN crystal.

The space group is P4/mmm (No. 123) and the conventional cell measures 5.4492, 5.4492 and 3.8322 Å, with angles of 90.00, 90.00 and 90.00 degrees. The inequivalent atoms are Ag at (0.0000, 0.0000, 0.0000), Te at (0.0000, 0.5000, 0.0000), Pt at (0.5000, 0.5000, 0.5000) and N at (0.0000, 0.0000, 0.5000).

The value obtained for the excess energy over the best structure of this formula in the dataset is 0.807 eV per atom. The formation energy without anion corrections is 1300 meV per atom. The density comes out at 8.35 g/cm³. The value obtained for the final energy is -17.00 eV per cell.


Record 12
A plane-wave DFT calculation with GGA-PBE was carried out for a relaxed YAgPtN2 crystal.

The space group is P4/mmm (No. 123) and the conventional cell measures 4.0488, 4.0488 and 6.1167 Å, with angles of 90.00, 90.00 and 90.00 degrees. The inequivalent atoms are Y at (0.0000, 0.0000, 0.0000), Ag at (0.0000, 0.0000, 0.5000), Pt at (0.5000, 0.5000, 0.0000) and N at (0.0000, 0.5000, 0.5000).

The formation energy without anion corrections is 1421 meV per atom. The density comes out at 6.95 g/cm³. The value obtained for the final energy is -24.90 eV per cell.